Here is Sm2MgTl after structural relaxation from Alexandria via LeMat-Bulk. Energies are from PBEsol.

Cell: 7.5738 7.5738 7.5738 Å, 90.00 90.00 90.00°
Last column: nearest neighbours and their distance in Å.
Space group Fm-3m (No. 225)
Unique sites:
Sm 0.2500 0.2500 0.2500 x8  4 Tl 3.28, 4 Mg 3.28
Mg 0.0000 0.0000 0.0000 x4  8 Sm 3.28
Tl 0.0000 0.0000 0.5000 x4  8 Sm 3.28

Computed properties:
- energy of formation (eV per atom) = -0.293
- E (Ha/atom) = -0.1443
- total magnetic moment (μB/cell) = 0.00
- volume (A^3/atom) = 27.15



Here is NaCr2NiSn after structural relaxation from Alexandria via LeMat-Bulk. Energies are from PBEsol.

Cell: 4.6656 4.6656 4.3375 Å, 90.00 90.00 90.00°
Last column: nearest neighbours and their distance in Å.
Space group P4/mmm (No. 123)
Unique sites:
Na 0.0000 0.0000 0.0000 x1  2 Ni 2.17, 4 Cr 2.33
Cr 0.0000 0.5000 0.0000 x2  2 Na 2.33
Ni 0.0000 0.0000 0.5000 x1  2 Na 2.17
Sn 0.5000 0.5000 0.5000 x1  8 Cr 3.19, 4 Ni 3.30

Computed properties:
- energy of formation (eV per atom) = 1.665
- E (Ha/atom) = -0.1762
- total magnetic moment (μB/cell) = 8.16
- volume (A^3/atom) = 18.88